A relaxed structure of TaFeIr2. Source: Alexandria, functional PBE.

Output
**VASP energy**: -38.55 eV per cell

Geometry as CIF:
```
data_TaFeIr2
_symmetry_space_group_name_H-M 'P 4 m m'
_symmetry_Int_Tables_number 99
_cell_length_a 3.283
_cell_length_b 3.283
_cell_length_c 5.617
_cell_angle_alpha 90.00
_cell_angle_beta 90.00
_cell_angle_gamma 90.00
loop_
_symmetry_equiv_pos_as_xyz
'x,y,z'
'-y,x,z'
'-x,-y,z'
'y,-x,z'
'-x,y,z'
'y,x,z'
'x,-y,z'
'-y,-x,z'
loop_
_atom_site_label
_atom_site_fract_x
_atom_site_fract_y
_atom_site_fract_z
Ta1 0.000 0.000 0.000
Fe1 0.500 0.500 0.271
Ir1 0.000 0.000 0.468
Ir2 0.500 0.500 0.766
```